Material: CsZrCuS3
Method: DFT, PBE
State: relaxed

Values from the calculation:
As for the space group: C2/m. The raw total energy is -5.246 eV per atom. The value obtained for the volume is 292.4 Å³/cell.

```
CsZrCuS3
1.0
-5.8700 -6.2177 1.8646
-3.4690 -8.0176 -0.5272
5.5318 -1.7401 6.8625
S Zr Cs Cu
6 2 2 2
Cartesian
-1.5131 -11.2880 6.9754
-1.9036 -7.9877 4.1000
0.0000 0.0000 0.0000
0.9858 -6.1092 5.5868
-4.7929 -9.8662 2.6131
-2.2940 -4.6875 1.2245
-2.7325 -13.7302 7.5891
-1.0746 -2.2452 0.6108
1.7391 -3.1526 4.1181
-5.5462 -12.8228 4.0818
-3.5072 -8.0921 2.5687
-0.2999 -7.8833 5.6312
```

***

Material: CsZrCuS3
Method: DFT, PBE
State: relaxed

Values from the calculation:
As for the space group: P2_1/m. The raw total energy is -5.508 eV per atom. The value obtained for the volume is 302.3 Å³/cell.

```
CsZrCuS3
1.0
9.0016 0.0000 0.0000
0.0000 3.8189 0.0000
-4.1648 0.0000 8.7937
Zr S Cs Cu
2 6 2 2
Cartesian
1.4136 2.8642 2.9743
3.4232 0.9547 5.8195
5.1697 2.8642 5.6720
-0.3328 0.9547 3.1218
1.6555 2.8642 0.4762
3.1814 0.9547 8.3175
3.2065 0.9547 3.1643
1.6303 2.8642 5.6295
-1.0740 0.9547 6.6885
5.9108 2.8642 2.1052
0.3345 0.9547 0.9086
4.5023 2.8642 7.8851
```

***

Material: CsScCu
Method: DFT, PBE
State: relaxed

Values from the calculation:
As for the space group: F-43m. Its offset from the most stable computed form is 0.93 eV per formula unit. The raw total energy is -2.192 eV per atom. The value obtained for the volume is 87.8 Å³/cell.

```
CsScCu
1.0
0.0000 3.5283 3.5283
3.5283 0.0000 3.5283
3.5283 3.5283 0.0000
Cu Cs Sc
1 1 1
Cartesian
1.7641 1.7641 1.7641
0.0000 0.0000 0.0000
5.2924 5.2924 5.2924
```

***

Material: CsScCu
Method: DFT, PBE
State: relaxed

Values from the calculation:
As for the space group: F-43m. Its offset from the most stable computed form is 0.00 eV per formula unit. The raw total energy is -2.501 eV per atom. The value obtained for the volume is 104.1 Å³/cell.

```
CsScCu
1.0
-2.2210 1.5300 4.5386
-4.5327 -2.1901 1.5908
-0.0415 -3.2628 4.1502
Cu Sc Cs
1 1 1
Cartesian
-5.0964 -2.9421 7.7097
0.0000 0.0000 0.0000
-1.6988 -0.9807 2.5699
```

***

Material: Cs2CuSe2
Method: DFT, PBE
State: relaxed

Values from the calculation:
As for the space group: C2/m. The raw total energy is -3.162 eV per atom. The value obtained for the volume is 175.4 Å³/cell.

```
Cs2CuSe2
1.0
-0.4907 3.3486 -1.7542
2.5729 1.4443 6.1718
7.1125 0.4270 -1.1769
Se Cs Cu
2 2 1
Cartesian
6.2628 0.9738 0.1044
2.9318 4.2462 3.1363
2.8105 1.1144 1.3330
6.3842 4.1056 1.9077
-0.2454 1.6743 -0.8771
```

***

Material: Cs2Cu5Se4
Method: DFT, PBE
State: relaxed

Values from the calculation:
As for the space group: Cmcm. The raw total energy is -3.597 eV per atom. The value obtained for the volume is 517.4 Å³/cell.

```
Cs2Cu5Se4
1.0
-1.0932 -3.6694 1.2112
-2.2385 -4.3842 -8.6452
12.5147 -4.1100 -1.1561
Cs Cu Se
4 10 8
Cartesian
7.8139 -7.4737 -2.2747
1.3692 -4.6900 -6.3153
6.2574 -2.0550 -0.5780
0.0000 0.0000 0.0000
0.9256 -3.2348 -2.3074
5.9434 -8.1689 -6.0689
3.9144 -6.6491 -3.2960
10.4813 -7.2265 -5.7756
8.2575 -8.9288 -6.2827
5.2687 -5.5146 -5.2940
3.2397 -3.9948 -2.5211
-1.2983 -4.9372 -2.8144
7.4297 -7.0417 -7.9699
1.7534 -5.1220 -0.6202
2.5204 -2.9551 -0.0204
-1.9816 -5.5074 -5.1588
7.8479 -6.4114 -5.6830
5.4513 -4.7799 -2.9034
3.7318 -7.3838 -5.6866
11.1647 -6.6562 -3.4312
1.3352 -5.7523 -2.9070
6.6626 -9.2086 -8.5696
```

***

Material: CsCuSiSe3
Method: DFT, PBE
State: relaxed

Values from the calculation:
As for the space group: Cmcm. Its offset from the most stable computed form is 0.56 eV per formula unit. The raw total energy is -3.839 eV per atom. The value obtained for the volume is 309.3 Å³/cell.

```
CsCuSiSe3
1.0
0.8798 0.7974 -8.2342
-1.9280 -4.1106 6.9712
-9.7277 3.3501 -0.7149
Se Si Cu Cs
6 2 2 2
Cartesian
-0.5729 -1.0135 -2.2780
-1.6844 1.4038 -7.6969
-9.0915 -1.3668 5.7190
-6.0354 -0.3848 0.6064
-10.2030 1.0505 0.3001
-4.7405 0.4218 -2.5843
-4.8638 1.6751 -0.3575
0.0000 0.0000 0.0000
-7.9607 0.6098 -0.4049
-2.8152 -0.5728 -1.5730
-7.1333 2.0562 -4.8858
-3.6426 -2.0192 2.9079
```

***

Material: Cs4CuSi2Se7
Method: DFT, PBE
State: relaxed

Values from the calculation:
As for the space group: P-1. The raw total energy is -3.856 eV per atom. The value obtained for the volume is 531.5 Å³/cell.

```
Cs4CuSi2Se7
1.0
7.7555 0.0000 0.0000
-3.6166 8.3841 0.0000
-1.3579 -3.8362 8.1740
Se Si Cs Cu
7 2 4 1
Cartesian
1.1177 4.7823 4.8310
-1.6027 -0.4689 6.4741
1.6633 -0.2343 3.3429
-0.5146 6.3154 0.1844
4.3838 5.0169 1.6999
0.0000 0.0000 0.0000
3.2956 -1.7674 7.9895
-2.2749 7.0125 1.4588
5.0559 -2.4645 6.7152
-2.5599 5.0548 5.4094
1.3188 2.9418 1.6755
1.4623 1.6062 6.4985
5.3410 -0.5068 2.7646
-1.8083 4.1921 0.0000
```

***

Material: CsCuSiSe3
Method: DFT, PBE
State: relaxed

Values from the calculation:
As for the space group: P2_1/m. Its offset from the most stable computed form is 0.00 eV per formula unit. The raw total energy is -3.932 eV per atom. The value obtained for the volume is 317.3 Å³/cell.

```
CsCuSiSe3
1.0
9.1410 0.0000 0.0000
0.0000 3.8502 0.0000
-4.3877 0.0000 9.0155
Se Cs Cu Si
6 2 2 2
Cartesian
3.7264 2.8877 1.1752
-2.3979 0.9625 7.6990
7.1512 2.8877 1.3165
-0.4303 2.8877 5.2714
5.1836 0.9625 3.7441
1.0269 0.9625 7.8403
0.8968 0.9625 2.4876
3.8565 2.8877 6.5279
6.7412 2.8877 3.7468
-1.9879 0.9625 5.2687
-0.7091 2.8877 7.7435
5.4624 0.9625 1.2721
```

***

Material: CsCuSiTeSe2
Method: DFT, PBE
State: relaxed

Values from the calculation:
As for the space group: Cmcm. The raw total energy is -3.719 eV per atom. The value obtained for the volume is 336.6 Å³/cell.

```
CsCuSiTeSe2
1.0
-4.3775 7.4313 -0.5029
1.3037 -8.4440 -1.2804
-4.7635 -2.1671 9.4412
Se Te Cs Cu Si
4 2 2 2 2
Cartesian
-3.1290 -3.1236 3.3387
-1.1615 -2.2285 -0.5608
-6.6759 -0.9512 8.2187
-4.7084 -0.0562 4.3192
-7.6348 4.9249 6.5348
-0.2025 -8.1046 1.1230
-4.1860 3.0266 1.6682
-3.6514 -6.2063 5.9897
-2.4214 -1.9043 1.4267
-5.4160 -1.2754 6.2312
-2.3818 -1.0835 4.7206
0.0000 0.0000 0.0000
```

***

Material: CsSmCuSe3
Method: DFT, PBE
State: relaxed

Values from the calculation:
As for the space group: P2_1/m. The raw total energy is -4.473 eV per atom. The value obtained for the volume is 382.0 Å³/cell.

```
CsSmCuSe3
1.0
-3.9711 -0.4109 -8.9122
-3.6950 -0.9221 1.6890
-0.5259 9.3060 3.9303
Sm Cs Se Cu
2 2 6 2
Cartesian
-1.9538 5.6826 1.3970
-6.2382 2.2905 -4.6899
-4.0420 1.5522 -0.2882
-4.1501 6.4208 -3.0047
-3.5667 2.8300 -3.6890
-4.6253 5.1430 0.3961
-5.4870 -0.5968 -4.6229
-1.2065 2.8807 1.5024
-2.7050 8.5699 1.3300
-6.9856 5.0923 -4.7953
-4.8949 7.4573 1.0698
-3.2972 0.5157 -4.3627
```

***

Material: CsSm2CuSe4
Method: DFT, PBE
State: relaxed

Values from the calculation:
As for the space group: Cmcm. The raw total energy is -5.000 eV per atom. The value obtained for the volume is 460.5 Å³/cell.

```
CsSm2CuSe4
1.0
-6.0662 4.5773 1.3020
2.7437 -7.1603 -0.8052
2.6305 -0.6123 14.4086
Se Sm Cs Cu
8 4 2 2
Cartesian
2.2225 -4.7031 8.4845
2.9618 -4.8752 12.5343
-3.4188 3.2194 11.9471
-0.3460 -1.5976 7.4527
2.7267 -6.4147 2.9583
-2.9145 1.5078 6.4209
-1.6613 -1.2915 0.2484
-3.6538 1.6799 2.3712
1.7244 -5.6234 0.3691
2.7141 -5.8538 5.7902
-2.4165 2.4281 14.5363
-3.4062 2.6585 9.1152
-0.6342 -0.4906 11.2811
-0.0578 -2.7047 3.6243
-2.4458 0.4768 4.1955
1.7537 -3.6721 10.7099
```